1.
## Pm2Er3Zn3 (GGA-PBE)

Data for crystalline Pm2Er3Zn3 at its relaxed geometry.

Calculated values
ΔH_f (0 K) = -0.234 eV per atom
crystal system = orthorhombic
space group = Immm

```
8
Lattice="-1.815 2.558 10.823 1.815 -2.558 10.823 1.815 2.558 -10.823" Properties=species:S:1:pos:R:3 pbc="T T T"
Pm 0.000 0.000 4.918
Pm 0.000 0.000 16.728
Er 0.000 0.000 0.000
Er 1.815 0.000 8.336
Er 0.000 2.558 2.487
Zn 1.815 0.000 2.405
Zn 0.000 0.000 10.823
Zn 0.000 2.558 8.418
```

2.
## PmErZn3 (GGA-PBE)

Data for crystalline PmErZn3 at its relaxed geometry.

Calculated values
ΔH_f (0 K) = -0.237 eV per atom
crystal system = monoclinic
space group = C2/m

```
10
Lattice="7.174 -2.429 0.000 7.174 2.429 0.000 -1.075 0.000 6.270" Properties=species:S:1:pos:R:3 pbc="T T T"
Pm 1.127 0.000 2.835
Pm 12.145 0.000 3.434
Er 3.614 0.000 5.594
Er 9.658 0.000 0.676
Zn 0.136 0.000 5.717
Zn 3.948 0.000 2.140
Zn 6.658 0.000 1.761
Zn 6.615 0.000 4.509
Zn 9.325 0.000 4.130
Zn 13.136 0.000 0.553
```

3.
## Pm2Er3Zn2 (GGA-PBE)

Data for crystalline Pm2Er3Zn2 at its relaxed geometry.

Calculated values
ΔH_f (0 K) = -0.091 eV per atom
crystal system = monoclinic
space group = C2/m

```
7
Lattice="5.737 -2.360 0.000 5.737 2.360 0.000 -3.678 0.000 7.199" Properties=species:S:1:pos:R:3 pbc="T T T"
Pm 0.491 0.000 2.099
Pm 7.304 0.000 5.100
Er 4.058 0.000 0.274
Er 3.898 0.000 3.599
Er 3.737 0.000 6.925
Zn -0.888 0.000 4.975
Zn 8.683 0.000 2.224
```

4.
## PmEr5Zn6 (GGA-PBE)

Data for crystalline PmEr5Zn6 at its relaxed geometry.

Calculated values
ΔH_f (0 K) = -0.338 eV per atom
crystal system = orthorhombic
space group = Cmmm

```
12
Lattice="2.508 -7.544 0.000 2.508 7.544 0.000 0.000 0.000 7.146" Properties=species:S:1:pos:R:3 pbc="T T T"
Pm 0.000 0.000 0.000
Er 0.000 0.000 3.573
Er 2.508 2.538 0.000
Er 2.508 2.486 3.573
Er 2.508 -2.486 3.573
Er 2.508 -2.538 0.000
Zn 2.508 4.983 1.830
Zn 2.508 4.983 5.315
Zn 2.508 0.000 1.830
Zn 2.508 0.000 5.316
Zn 2.508 -4.983 1.830
Zn 2.508 -4.983 5.315
```